Record 1
SrMgFeMo | PBE | relaxed

abc: 4.9591 4.9591 4.9591
angles: 60.00 60.00 60.00
Positions (direct):
Fe 0.5000 0.5000 0.5000
Mg 0.7500 0.7500 0.7500
Mo 0.0000 0.0000 0.0000
Sr 0.2500 0.2500 0.2500

Properties
**Space-group type**: F-43m, No. 216
**Energy**: -18.13 eV/cell
**Energy above the lowest structure with this stoichiometry**: 156 meV/atom

***

Record 2
TmZr2Al3Cu2Pd | PBE | relaxed

abc: 4.0638 6.7242 6.7242
angles: 119.95 90.00 90.00
Positions (direct):
Al 0.5000 0.9919 0.2470
Al 0.5000 0.7575 0.7575
Al 0.5000 0.2470 0.9919
Cu 0.5000 0.6687 0.3330
Cu 0.5000 0.3330 0.6687
Pd 0.0000 0.9994 0.9994
Tm 0.0000 0.4218 0.4218
Zr 0.0000 0.5784 0.0024
Zr 0.0000 0.0024 0.5784

Properties
**Space-group type**: Amm2, No. 38
**Energy**: -50.45 eV/cell

***

Record 3
Mg2Np | PBE | relaxed

abc: 14.3434 8.6323 5.0994
angles: 90.00 90.00 63.92
Positions (direct):
Mg 0.5841 0.0778 0.0000
Mg 0.1604 0.1742 0.0000
Mg 0.9064 0.4386 0.0000
Mg 0.4990 0.4977 0.0000
Mg 0.0806 0.5690 0.0000
Mg 0.6620 0.6818 0.0000
Mg 0.2419 0.7507 0.0000
Mg 0.4086 0.8951 0.0000
Mg 0.0259 0.2095 0.5000
Mg 0.6050 0.2730 0.5000
Mg 0.7804 0.4472 0.5000
Mg 0.9466 0.6173 0.5000
Mg 0.5375 0.6728 0.5000
Mg 0.1107 0.7654 0.5000
Mg 0.7015 0.8519 0.5000
Mg 0.2640 0.9483 0.5000
Np 0.7504 0.2366 0.0000
Np 0.3273 0.3254 0.0000
Np 0.8433 0.9265 0.0000
Np 0.9900 0.9909 0.0000
Np 0.8573 0.0264 0.5000
Np 0.4338 0.1002 0.5000
Np 0.2644 0.3381 0.5000
Np 0.3522 0.5187 0.5000

Properties
**Space-group type**: Pm, No. 6
**Energy**: -120.38 eV/cell

***

Record 4
DyErAu6 | PBE | relaxed

abc: 5.0243 6.1380 5.1318
angles: 90.00 90.00 90.00
Positions (direct):
Au 0.5000 0.5000 0.1641
Au 0.0000 0.2463 0.3380
Au 0.0000 0.7537 0.3380
Au 0.5000 0.2576 0.6628
Au 0.5000 0.7424 0.6628
Au 0.0000 0.0000 0.8333
Dy 0.5000 0.0000 0.1564
Er 0.0000 0.5000 0.8446

Properties
**Space-group type**: Pmm2, No. 25
**ΔE_f**: -0.73 eV/atom
**Energy**: -34.58 eV/cell

***

Record 5
Li2Hg2O3 | PBE | relaxed

abc: 5.0787 5.0787 5.0787
angles: 69.67 69.67 69.67
Positions (direct):
Hg 0.2827 0.2827 0.2827
Hg 0.7173 0.7173 0.7173
Li 0.0000 0.0000 0.0000
Li 0.5000 0.5000 0.5000
O 0.5000 0.0000 0.0000
O 0.0000 0.5000 0.0000
O 0.0000 0.0000 0.5000

Properties
**Space-group type**: R-3m, No. 166
**Energy**: -20.39 eV/cell
**Energy above the lowest structure with this stoichiometry**: 731 meV/atom

***

Record 6
Sm2Ni | PBE | relaxed

abc: 8.2718 8.2718 8.2718
angles: 60.00 60.00 60.00
Positions (direct):
Ni 0.2500 0.2500 0.2500
Ni 0.5000 0.5000 0.5000
Sm 0.3750 0.3750 0.3750
Sm 0.8750 0.3750 0.3750
Sm 0.3750 0.8750 0.3750
Sm 0.3750 0.3750 0.8750

Properties
**Space-group type**: Fd-3m, No. 227
**ΔE_f**: 1.07 eV/atom
**Energy**: -23.55 eV/cell

***

Record 7
TbErZn2Sn2 | PBE | relaxed

abc: 8.1002 8.1002 8.1002
angles: 149.19 149.19 44.14
Positions (direct):
Er 0.6573 0.6573 0.0000
Sn 0.1341 0.1341 0.0000
Sn 0.8657 0.8657 0.0000
Tb 0.3419 0.3419 0.0000
Zn 0.5005 0.0005 0.5000
Zn 0.0005 0.5005 0.5000

Properties
**Space-group type**: I4mm, No. 107
**Energy**: -22.73 eV/cell
**Energy above the lowest structure with this stoichiometry**: 81 meV/atom

***

Record 8
BeFeSb | PBE | relaxed

abc: 4.0422 4.0422 4.0422
angles: 60.00 60.00 60.00
Positions (direct):
Be 0.2500 0.2500 0.2500
Fe 0.0000 0.0000 0.0000
Sb 0.7500 0.7500 0.7500

Properties
**Space-group type**: F-43m, No. 216
**Energy**: -15.41 eV/cell
**Energy above the lowest structure with this stoichiometry**: 0 meV/atom

***

Record 9
Sm2YCo2B2C3 | PBE | relaxed

abc: 10.6182 10.6182 10.6182
angles: 160.36 160.36 27.92
Positions (direct):
B 0.1954 0.1954 0.0000
B 0.8046 0.8046 0.0000
C 0.1224 0.1224 0.0000
C 0.5000 0.5000 0.0000
C 0.8776 0.8776 0.0000
Co 0.7500 0.2500 0.5000
Co 0.2500 0.7500 0.5000
Sm 0.3751 0.3751 0.0000
Sm 0.6249 0.6249 0.0000
Y 0.0000 0.0000 0.0000

Properties
**Space-group type**: I4/mmm, No. 139
**Energy**: -73.57 eV/cell

***

Record 10
BaTaN2O | PBE | relaxed

abc: 4.1331 4.1331 4.1794
angles: 90.00 90.00 90.00
Positions (direct):
Ba 0.5000 0.5000 0.5000
N 0.5000 0.0000 0.0000
N 0.0000 0.5000 0.0000
O 0.0000 0.0000 0.5000
Ta 0.0000 0.0000 0.0000

Properties
**Space-group type**: P4/mmm, No. 123
**Energy**: -42.47 eV/cell

***

Record 11
Zn2Co3Cu3 | PBE | relaxed

abc: 5.0582 4.1602 5.1512
angles: 90.00 118.88 90.00
Positions (direct):
Co 0.3190 0.5000 0.1357
Co 0.6683 0.0000 0.8454
Co 0.1796 0.0000 0.8607
Cu 0.8320 0.5000 0.1556
Cu 0.1681 0.0000 0.3401
Cu 0.8298 0.5000 0.6611
Zn 0.6714 0.0000 0.3478
Zn 0.3316 0.5000 0.6535

Properties
**Space-group type**: Pm, No. 6
**ΔE_f**: 0.06 eV/atom
**Energy**: -34.52 eV/cell
**Energy above the lowest structure with this stoichiometry**: 19 meV/atom

***

Record 12
TaCoAs | PBE | relaxed

abc: 6.2740 3.7409 7.1653
angles: 90.00 90.00 90.00
Positions (direct):
As 0.7157 0.7500 0.1194
As 0.2157 0.7500 0.3806
As 0.7843 0.2500 0.6194
As 0.2843 0.2500 0.8806
Co 0.3417 0.7500 0.0692
Co 0.8417 0.7500 0.4308
Co 0.1583 0.2500 0.5692
Co 0.6583 0.2500 0.9308
Ta 0.0207 0.2500 0.1706
Ta 0.5207 0.2500 0.3294
Ta 0.4793 0.7500 0.6706
Ta 0.9793 0.7500 0.8294

Properties
**Space-group type**: Pnma, No. 62
**Energy**: -99.53 eV/cell

***

Record 13
MgInBiOs | PBE | relaxed

abc: 4.8480 4.8480 4.8480
angles: 60.00 60.00 60.00
Positions (direct):
Bi 0.5000 0.5000 0.5000
In 0.0000 0.0000 0.0000
Mg 0.7500 0.7500 0.7500
Os 0.2500 0.2500 0.2500

Properties
**Space-group type**: F-43m, No. 216
**Energy**: -17.87 eV/cell
**Energy above the lowest structure with this stoichiometry**: 0 meV/atom

***

Record 14
In8Ir2Se | PBE | relaxed

abc: 10.0916 10.0916 10.2571
angles: 90.00 90.00 90.00
Positions (direct):
In 0.8122 0.1878 0.0000
In 0.2008 0.2008 0.0000
In 0.4049 0.4049 0.0000
In 0.5951 0.5951 0.0000
In 0.7992 0.7992 0.0000
In 0.1878 0.8122 0.0000
In 0.0000 0.0000 0.1642
In 0.5532 0.2039 0.2018
In 0.7961 0.4468 0.2018
In 0.2039 0.5532 0.2018
In 0.4468 0.7961 0.2018
In 0.2961 0.0532 0.2982
In 0.0532 0.2961 0.2982
In 0.9468 0.7039 0.2982
In 0.7039 0.9468 0.2982
In 0.5000 0.5000 0.3358
In 0.9049 0.0951 0.5000
In 0.7008 0.2992 0.5000
In 0.3122 0.3122 0.5000
In 0.6878 0.6878 0.5000
In 0.2992 0.7008 0.5000
In 0.0951 0.9049 0.5000
In 0.5000 0.5000 0.6642
In 0.2961 0.0532 0.7018
In 0.0532 0.2961 0.7018
In 0.9468 0.7039 0.7018
In 0.7039 0.9468 0.7018
In 0.5532 0.2039 0.7982
In 0.7961 0.4468 0.7982
In 0.2039 0.5532 0.7982
In 0.4468 0.7961 0.7982
In 0.0000 0.0000 0.8358
Ir 0.3136 0.3136 0.2405
Ir 0.6864 0.6864 0.2405
Ir 0.8136 0.1864 0.2595
Ir 0.1864 0.8136 0.2595
Ir 0.8136 0.1864 0.7405
Ir 0.1864 0.8136 0.7405
Ir 0.3136 0.3136 0.7595
Ir 0.6864 0.6864 0.7595
Se 0.5000 0.0000 0.0000
Se 0.0000 0.5000 0.0000
Se 0.5000 0.0000 0.5000
Se 0.0000 0.5000 0.5000

Properties
**Space-group type**: P4_2/mnm, No. 136
**Energy**: -182.87 eV/cell

***

Record 15
Pd | PBE | relaxed

abc: 4.7426 4.7426 27.7916
angles: 90.40 90.40 47.87
Positions (direct):
Pd 0.1076 0.1076 0.2272
Pd 0.8045 0.8045 0.2552
Pd 0.5001 0.5001 0.2872
Pd 0.2022 0.2022 0.3217
Pd 0.9025 0.9025 0.3535
Pd 0.6015 0.6015 0.3862
Pd 0.3012 0.3012 0.4186
Pd 0.0009 0.0009 0.4513
Pd 0.7004 0.7004 0.4839
Pd 0.3995 0.3995 0.5163
Pd 0.0992 0.0992 0.5488
Pd 0.7990 0.7990 0.5814
Pd 0.4986 0.4986 0.6138
Pd 0.1974 0.1974 0.6465
Pd 0.8977 0.8977 0.6783
Pd 0.5999 0.5999 0.7128
Pd 0.2955 0.2955 0.7447
Pd 0.9923 0.9923 0.7726

Properties
**Space-group type**: C2/m, No. 12
**ΔE_f**: 0.19 eV/atom
**Energy**: -89.67 eV/cell
**Energy above the lowest structure with this stoichiometry**: 194 meV/atom

***

Record 16
Li6HgAu | PBE | relaxed

abc: 4.4385 4.4385 6.2735
angles: 90.00 90.00 90.00
Positions (direct):
Au 0.5000 0.5000 0.5000
Hg 0.0000 0.0000 0.0000
Li 0.5000 0.5000 0.0000
Li 0.5000 0.0000 0.2589
Li 0.0000 0.5000 0.2589
Li 0.0000 0.0000 0.5000
Li 0.5000 0.0000 0.7411
Li 0.0000 0.5000 0.7411

Properties
**Space-group type**: P4/mmm, No. 123
**Energy**: -17.68 eV/cell

***

Record 17
NdGd2In3Ni3 | PBE | relaxed

abc: 3.8798 7.4865 7.4865
angles: 119.78 90.00 90.00
Positions (direct):
Gd 0.0000 0.5887 0.0000
Gd 0.0000 0.0000 0.5887
In 0.5000 0.9962 0.2504
In 0.5000 0.7524 0.7524
In 0.5000 0.2504 0.9962
Nd 0.0000 0.4128 0.4128
Ni 0.5000 0.6687 0.3324
Ni 0.5000 0.3324 0.6687
Ni 0.0000 0.9985 0.9985

Properties
**Space-group type**: Amm2, No. 38
**Energy**: -43.40 eV/cell

***

Record 18
TaCuGeAu | PBE | relaxed

abc: 4.5577 4.5577 4.5577
angles: 60.00 60.00 60.00
Positions (direct):
Au 0.2500 0.2500 0.2500
Cu 0.7500 0.7500 0.7500
Ge 0.0000 0.0000 0.0000
Ta 0.5000 0.5000 0.5000

Properties
**Space-group type**: F-43m, No. 216
**Energy**: -21.80 eV/cell
**Energy above the lowest structure with this stoichiometry**: 250 meV/atom

***

Record 19
KPOsO | PBE | relaxed

abc: 3.5522 3.5522 9.3527
angles: 90.00 90.00 90.00
Positions (direct):
K 0.7500 0.2500 0.5000
K 0.2500 0.7500 0.5000
O 0.7500 0.2500 0.0000
O 0.2500 0.7500 0.0000
Os 0.2500 0.2500 0.1394
Os 0.7500 0.7500 0.8606
P 0.7500 0.7500 0.2419
P 0.2500 0.2500 0.7581

Properties
**Space-group type**: P4/nmm, No. 129
**Energy**: -40.84 eV/cell
**Energy above the lowest structure with this stoichiometry**: 1083 meV/atom

***

Record 20
YTlCuOs | PBE | relaxed

abc: 4.7651 4.7651 4.7651
angles: 60.00 60.00 60.00
Positions (direct):
Cu 0.7500 0.7500 0.7500
Os 0.2500 0.2500 0.2500
Tl 0.0000 0.0000 0.0000
Y 0.5000 0.5000 0.5000

Properties
**Space-group type**: F-43m, No. 216
**Energy**: -22.76 eV/cell
**Energy above the lowest structure with this stoichiometry**: 0 meV/atom

***

Record 21
Ho5Al | PBE | relaxed

abc: 6.2676 6.2676 5.6815
angles: 90.00 90.00 120.00
Positions (direct):
Al 0.0000 0.0000 0.0000
Ho 0.6667 0.3333 0.0000
Ho 0.3333 0.6667 0.0000
Ho 0.5000 0.0000 0.5000
Ho 0.0000 0.5000 0.5000
Ho 0.5000 0.5000 0.5000

Properties
**Space-group type**: P6/mmm, No. 191
**Energy**: -23.34 eV/cell

***

Record 22
PrYPt2 | PBE | relaxed

abc: 5.6713 4.5844 7.2362
angles: 90.00 91.24 90.00
Positions (direct):
Pr 0.3589 0.7500 0.3149
Pr 0.6411 0.2500 0.6851
Pt 0.3397 0.2500 0.0374
Pt 0.8532 0.7500 0.4504
Pt 0.1468 0.2500 0.5496
Pt 0.6603 0.7500 0.9626
Y 0.8613 0.2500 0.1800
Y 0.1387 0.7500 0.8200

Properties
**Space-group type**: P2_1/m, No. 11
**ΔE_f**: -1.18 eV/atom
**Energy**: -56.15 eV/cell
**Energy above the lowest structure with this stoichiometry**: 6 meV/atom

***

Record 23
GdTmAsO | PBE | relaxed

abc: 4.3277 4.3277 8.7680
angles: 90.00 90.00 90.00
Positions (direct):
As 0.0000 0.5000 0.2996
As 0.5000 0.0000 0.7004
Gd 0.5000 0.0000 0.1049
Gd 0.0000 0.5000 0.8951
O 0.0000 0.0000 0.0000
O 0.5000 0.5000 0.0000
Tm 0.0000 0.0000 0.5000
Tm 0.5000 0.5000 0.5000

Properties
**Space-group type**: P4/nmm, No. 129
**Energy**: -52.82 eV/cell
**Energy above the lowest structure with this stoichiometry**: 67 meV/atom